DFT (GGA-PBE) results for crystalline Fe5Cl at its relaxed geometry.

## Properties
Its density of states at the Fermi level is 0.745 states/eV per atom. For the total energy, the calculation gives -7.023 eV/atom. The value obtained for the formation energy from raw total energies is 0.337 eV/atom. For the energy above the lowest structure with this stoichiometry, the calculation gives 0.007 eV per atom. The crystal system is orthorhombic. Its space-group type is Amm2, No. 38.

Lattice parameters (Å, degrees): 6.804 6.804 4.070 90.00 90.00 155.39
Each line ends with the local moment (μB).
Fractional positions:
Fe: 0.652 0.348 0.000  2.54
Fe: 0.299 0.701 0.000  2.59
Fe: 0.444 0.556 0.500  2.81
Fe: 0.140 0.860 0.500  2.68
Fe: 0.792 0.208 0.500  2.45
Cl: 0.006 0.994 0.000  0.12

DFT (GGA-PBE) results for crystalline FeCl5 at its relaxed geometry.

## Properties
Its density of states at the Fermi level is 0.953 states/eV per atom. For the total energy, the calculation gives -3.023 eV/atom. The value obtained for the formation energy from raw total energies is -0.074 eV/atom. For the energy above the lowest structure with this stoichiometry, the calculation gives 0.322 eV per atom. The crystal system is orthorhombic. Its space-group type is Amm2, No. 38.

Lattice parameters (Å, degrees): 6.443 6.443 7.312 90.00 90.00 149.00
Each line ends with the local moment (μB).
Fractional positions:
Cl: 0.664 0.336 0.000  0.01
Cl: 0.487 0.513 0.500  0.18
Cl: 0.330 0.670 0.000  0.00
Cl: 0.742 0.258 0.500  0.18
Cl: 0.995 0.005 0.000  0.01
Fe: 0.114 0.886 0.500  3.62

DFT (GGA-PBE) results for crystalline FeCl at its relaxed geometry.

## Properties
Its density of states at the Fermi level is 0.485 states/eV per atom. For the total energy, the calculation gives -5.137 eV/atom. The value obtained for the formation energy from raw total energies is 0.018 eV/atom. The crystal system is orthorhombic. Its space-group type is Pmn2_1, No. 31.

Lattice parameters (Å, degrees): 10.149 4.011 5.388 90.00 90.00 90.00
Each line ends with the local moment (μB).
Fractional positions:
Fe: 0.000 0.330 0.467  2.82
Fe: 0.500 0.670 0.967  2.82
Fe: 0.285 0.898 0.877  2.88
Fe: 0.215 0.102 0.377  2.88
Fe: 0.715 0.898 0.877  2.88
Fe: 0.785 0.102 0.377  2.88
Cl: 0.172 0.388 0.771  0.08
Cl: 0.828 0.388 0.771  0.08
Cl: 0.500 0.166 0.738  0.10
Cl: 0.672 0.612 0.271  0.08
Cl: 0.328 0.612 0.271  0.08
Cl: 0.000 0.834 0.238  0.10